## TcB2Au (PBE-GGA)

Data for a relaxed structure of TcB2Au.

Geometry as POSCAR:
```
TcB2Au
1.0
-0.760 -0.281 4.896
3.962 -2.954 0.446
4.318 2.124 3.307
B Au Tc
4 2 2
Direct
0.875 0.852 0.750
0.602 0.125 0.250
0.375 0.398 0.750
0.148 0.625 0.250
0.750 0.250 0.500
0.000 0.000 0.000
0.250 0.750 0.500
0.500 0.500 0.000
```

## Properties
DFT formation energy in eV/atom: 0.69
E above lowest polymorph in meV per atom: 0
D(E_F) in states/eV per cell: 2.588
E_tot in eV/atom: -6.06
SG: No. 122